Density functional theory data (PBE) for an optimized crystal structure of YBeCo2.

Lattice parameters (Å, degrees): 3.0439 3.0439 6.0526 90.00 90.00 90.00
Space group P4/mmm (No. 123)
One atom of each set of equivalent atoms:
1 Y 0.0000 0.0000 0.0000 (multiplicity 1)
2 Be 0.0000 0.0000 0.5000 (multiplicity 1)
3 Co 0.5000 0.5000 0.3154 (multiplicity 2)

Calculated values
VASP energy ... -6.029 eV/atom
ρ ... 6.39 Mg/m³

***

Density functional theory data (PBE) for an optimized crystal structure of GaPtPbC2.

Lattice parameters (Å, degrees): 4.3379 4.3379 5.5898 90.00 90.00 90.00
Space group P4/mmm (No. 123)
One atom of each set of equivalent atoms:
1 Ga 0.0000 0.0000 0.0000 (multiplicity 1)
2 Pt 0.5000 0.5000 0.0000 (multiplicity 1)
3 Pb 0.0000 0.0000 0.5000 (multiplicity 1)
4 C 0.0000 0.5000 0.5000 (multiplicity 2)

Calculated values
VASP energy ... -3.492 eV/atom
ρ ... 7.83 Mg/m³

***

Density functional theory data (PBE) for an optimized crystal structure of Ag8AuF2.

Lattice parameters (Å, degrees): 12.7803 5.5890 5.4304 90.00 96.66 90.00
Space group C2/m (No. 12)
One atom of each set of equivalent atoms:
1 Ag 0.0912 0.0000 0.1577 (multiplicity 4)
2 Ag 0.0990 0.2472 0.6489 (multiplicity 8)
3 Ag 0.2179 0.5000 0.0774 (multiplicity 4)
4 Au 0.0000 0.5000 0.0000 (multiplicity 2)
5 F 0.2488 0.5000 0.5305 (multiplicity 4)

Calculated values
ρ ... 9.46 Mg/m³
Formation energy without anion corrections ... -0.2739 eV/atom

***

Density functional theory data (PBE) for an optimized crystal structure of NdMg3Ge3.

Lattice parameters (Å, degrees): 7.2135 7.2135 7.2135 90.00 90.00 90.00
Space group Pm-3n (No. 223)
One atom of each set of equivalent atoms:
1 Nd 0.0000 0.0000 0.0000 (multiplicity 2)
2 Mg 0.0000 0.2500 0.5000 (multiplicity 6)
3 Ge 0.0000 0.5000 0.2500 (multiplicity 6)

Calculated values
VASP energy ... -3.139 eV/atom
ρ ... 3.85 Mg/m³

***

Density functional theory data (PBE) for an optimized crystal structure of Ni2HgMo.

Lattice parameters (Å, degrees): 8.4867 2.7446 5.1859 90.00 97.71 90.00
Space group C2/m (No. 12)
One atom of each set of equivalent atoms:
1 Ni 0.2468 0.0000 0.2032 (multiplicity 4)
2 Hg 0.0000 0.0000 0.5000 (multiplicity 2)
3 Mo 0.0000 0.5000 0.0000 (multiplicity 2)

Calculated values
VASP energy ... -5.380 eV/atom
ρ ... 11.48 Mg/m³

***

Density functional theory data (PBE) for an optimized crystal structure of PuAl2Pt.

Lattice parameters (Å, degrees): 6.5115 4.4983 10.3861 90.00 90.00 90.00
Space group Pnma (No. 62)
One atom of each set of equivalent atoms:
1 Pu 0.2372 0.2500 0.1600 (multiplicity 4)
2 Al 0.0741 0.2500 0.8442 (multiplicity 4)
3 Al 0.2375 0.7500 0.9525 (multiplicity 4)
4 Pt 0.0446 0.7500 0.3925 (multiplicity 4)

Calculated values
VASP energy ... -7.623 eV/atom
ρ ... 10.76 Mg/m³

***

Density functional theory data (PBE) for an optimized crystal structure of AlCu3Te4.

Lattice parameters (Å, degrees): 5.8420 5.8420 5.8420 90.00 90.00 90.00
Space group P-43m (No. 215)
One atom of each set of equivalent atoms:
1 Al 0.0000 0.0000 0.0000 (multiplicity 1)
2 Cu 0.0000 0.0000 0.5000 (multiplicity 3)
3 Te 0.2688 0.2688 0.2688 (multiplicity 4)

Calculated values
ρ ... 6.06 Mg/m³
Formation energy without anion corrections ... -0.1594 eV/atom

***

Density functional theory data (PBE) for an optimized crystal structure of PuPaTeSe2.

Lattice parameters (Å, degrees): 4.5416 4.5416 13.3891 90.00 90.00 90.00
Space group I4mm (No. 107)
One atom of each set of equivalent atoms:
1 Pu 0.0000 0.0000 0.0000 (multiplicity 2)
2 Pa 0.0000 0.0000 0.2401 (multiplicity 2)
3 Te 0.0000 0.0000 0.6218 (multiplicity 2)
4 Se 0.0000 0.5000 0.3659 (multiplicity 4)

Calculated values
ρ ... 9.15 Mg/m³
Formation energy without anion corrections ... -0.9865 eV/atom

***

Density functional theory data (PBE) for an optimized crystal structure of CuSiNiOs.

Lattice parameters (Å, degrees): 5.7989 5.7989 5.7989 90.00 90.00 90.00
Space group F-43m (No. 216)
One atom of each set of equivalent atoms:
1 Cu 0.0000 0.0000 0.0000 (multiplicity 4)
2 Si 0.0000 0.0000 0.5000 (multiplicity 4)
3 Ni 0.2500 0.2500 0.2500 (multiplicity 4)
4 Os 0.2500 0.2500 0.7500 (multiplicity 4)

Calculated values
ρ ... 11.60 Mg/m³
Formation energy without anion corrections ... -0.1313 eV/atom

***

Density functional theory data (PBE) for an optimized crystal structure of LiYBr2.

Lattice parameters (Å, degrees): 3.5987 6.7865 8.5897 90.00 90.00 90.00
Space group Cmmm (No. 65)
One atom of each set of equivalent atoms:
1 Li 0.0000 0.0000 0.0000 (multiplicity 2)
2 Y 0.0000 0.0000 0.5000 (multiplicity 2)
3 Br 0.0000 0.5000 0.2142 (multiplicity 4)

Calculated values
ρ ... 4.05 Mg/m³
Energy above the lowest structure with this stoichiometry ... 97 meV per atom
Formation energy without anion corrections ... -1.1216 eV/atom

***

Density functional theory data (PBE) for an optimized crystal structure of KSbIr2.

Lattice parameters (Å, degrees): 7.7837 7.7837 6.2012 90.00 90.00 90.00
Space group I-42d (No. 122)
One atom of each set of equivalent atoms:
1 K 0.0000 0.0000 0.0000 (multiplicity 4)
2 Sb 0.0000 0.0000 0.5000 (multiplicity 4)
3 Ir 0.1835 0.2500 0.6250 (multiplicity 8)

Calculated values
ρ ... 9.64 Mg/m³
Formation energy without anion corrections ... 0.7624 eV/atom

***

Density functional theory data (PBE) for an optimized crystal structure of SrAcBiPd.

Lattice parameters (Å, degrees): 7.9718 7.9718 7.9718 90.00 90.00 90.00
Space group F-43m (No. 216)
One atom of each set of equivalent atoms:
1 Sr 0.0000 0.0000 0.0000 (multiplicity 4)
2 Ac 0.0000 0.0000 0.5000 (multiplicity 4)
3 Bi 0.2500 0.2500 0.2500 (multiplicity 4)
4 Pd 0.2500 0.2500 0.7500 (multiplicity 4)

Calculated values
VASP energy ... -4.418 eV/atom
ρ ... 8.26 Mg/m³

***

Question: ρ of number 5 (Ni2HgMo)?
Answer: 11.48 Mg/m³

***

Question: Which of these has the lowest ρ?
Answer: NdMg3Ge3

***

Question: Which value of ρ does entry 11 give?
Answer: 9.64 Mg/m³

***

Repeat the fifth record exactly.
Density functional theory data (PBE) for an optimized crystal structure of Ni2HgMo.

Lattice parameters (Å, degrees): 8.4867 2.7446 5.1859 90.00 97.71 90.00
Space group C2/m (No. 12)
One atom of each set of equivalent atoms:
1 Ni 0.2468 0.0000 0.2032 (multiplicity 4)
2 Hg 0.0000 0.0000 0.5000 (multiplicity 2)
3 Mo 0.0000 0.5000 0.0000 (multiplicity 2)

Calculated values
VASP energy ... -5.380 eV/atom
ρ ... 11.48 Mg/m³